CdW: optimized geometry, PBE-GGA.

Output
energy relative to the elements: 3053 meV/atom
total moment: 1.9627 μB/atom
energy above the lowest structure with this stoichiometry: 2591.7 meV/atom
space-group type: F-43m, No. 216

POSCAR file:
```
CdW
1.0
-0.6333 4.3828 -1.0705
-3.7814 2.1517 1.3518
0.2312 3.1930 3.2415
W Cd
1 1
direct
0.2500 0.2500 0.2500
0.0000 0.0000 0.0000
```